Entry 1:
First-principles (GGA-PBE) data for an optimized crystal structure of Y4Ho5Tm, as listed in Alexandria.

Output
- formation energy (kJ/mol of formula units) = 240.9
- E_tot (eV per atom) = -5.072
- total magnetization (μB per cell) = 0.00

Structure (CIF):
```
data_Y4Ho5Tm
_chemical_formula_sum 'Y8 Ho10 Tm2'
_symmetry_space_group_name_H-M 'I 4 m m'
_symmetry_Int_Tables_number 107
_symmetry_space_group_name_Hall 'I 4 -2'
_cell_length_a 10.5622
_cell_length_b 10.5622
_cell_length_c 5.8596
_cell_angle_alpha 90.00
_cell_angle_beta 90.00
_cell_angle_gamma 90.00
loop_
_atom_site_label
_atom_site_type_symbol
_atom_site_fract_x
_atom_site_fract_y
_atom_site_fract_z
_atom_site_occupancy
Y1 Y 0.0000 0.3208 0.0000 1
Ho1 Ho 0.0000 0.0000 0.2374 1
Ho2 Ho 0.1882 0.1882 0.5014 1
Tm1 Tm 0.0000 0.0000 0.7647 1
```



Entry 2:
First-principles (GGA-PBE) data for an optimized crystal structure of Y5HoTm2, as listed in Alexandria.

Output
- formation energy (kJ/mol of formula units) = 19.3
- E_tot (eV per atom) = -5.705
- total magnetization (μB per cell) = 0.00

Structure (CIF):
```
data_Y5HoTm2
_chemical_formula_sum 'Y10 Ho2 Tm4'
_symmetry_space_group_name_H-M 'P b a m'
_symmetry_Int_Tables_number 55
_symmetry_space_group_name_Hall '-P 2 2ab'
_cell_length_a 7.0914
_cell_length_b 14.1817
_cell_length_c 5.0031
_cell_angle_alpha 90.00
_cell_angle_beta 90.00
_cell_angle_gamma 90.00
loop_
_atom_site_label
_atom_site_type_symbol
_atom_site_fract_x
_atom_site_fract_y
_atom_site_fract_z
_atom_site_occupancy
Y1 Y 0.0000 0.0000 0.0000 1
Y2 Y 0.0005 0.2507 0.0000 1
Y3 Y 0.2499 0.3753 0.5000 1
Ho1 Ho 0.0000 0.5000 0.0000 1
Tm1 Tm 0.2490 0.6245 0.5000 1
```



Entry 3:
First-principles (GGA-PBE) data for an optimized crystal structure of Y4Ho3Tm2, as listed in Alexandria.

Output
- formation energy (kJ/mol of formula units) = 89.4
- E_tot (eV per atom) = -5.290
- total magnetization (μB per cell) = 0.00

Structure (CIF):
```
data_Y4Ho3Tm2
_chemical_formula_sum 'Y16 Ho12 Tm8'
_symmetry_space_group_name_H-M 'C 1 2/c 1'
_symmetry_Int_Tables_number 15
_symmetry_space_group_name_Hall '-C 2yc'
_cell_length_a 16.1579
_cell_length_b 11.5153
_cell_length_c 6.1043
_cell_angle_alpha 90.00
_cell_angle_beta 95.87
_cell_angle_gamma 90.00
loop_
_atom_site_label
_atom_site_type_symbol
_atom_site_fract_x
_atom_site_fract_y
_atom_site_fract_z
_atom_site_occupancy
Y1 Y 0.0462 0.1427 0.0125 1
Y2 Y 0.2109 0.3595 0.8474 1
Ho1 Ho 0.0000 0.4060 0.7500 1
Ho2 Ho 0.1676 0.0972 0.5789 1
Tm1 Tm 0.1190 0.3577 0.3210 1
```



Entry 4:
First-principles (GGA-PBE) data for an optimized crystal structure of Y4Ho3Tm5, as listed in Alexandria.

Output
- formation energy (kJ/mol of formula units) = 285.3
- E_tot (eV per atom) = -4.916
- total magnetization (μB per cell) = 1.19

Structure (CIF):
```
data_Y4Ho3Tm5
_chemical_formula_sum 'Y8 Ho6 Tm10'
_symmetry_space_group_name_H-M 'C 1 2/m 1'
_symmetry_Int_Tables_number 12
_symmetry_space_group_name_Hall '-C 2y'
_cell_length_a 15.8752
_cell_length_b 5.8378
_cell_length_c 9.2378
_cell_angle_alpha 90.00
_cell_angle_beta 116.73
_cell_angle_gamma 90.00
loop_
_atom_site_label
_atom_site_type_symbol
_atom_site_fract_x
_atom_site_fract_y
_atom_site_fract_z
_atom_site_occupancy
Y1 Y 0.0807 0.0000 0.4390 1
Y2 Y 0.2129 0.0000 0.8788 1
Ho1 Ho 0.0000 0.5000 0.0000 1
Ho2 Ho 0.2107 0.0000 0.2355 1
Tm1 Tm 0.0000 0.0000 0.0000 1
Tm2 Tm 0.0723 0.5000 0.7001 1
Tm3 Tm 0.1721 0.5000 0.3841 1
```



Entry 5:
First-principles (GGA-PBE) data for an optimized crystal structure of Y6HoTm3, as listed in Alexandria.

Output
- formation energy (kJ/mol of formula units) = 115.4
- E_tot (eV per atom) = -5.558
- total magnetization (μB per cell) = 0.00

Structure (CIF):
```
data_Y6HoTm3
_chemical_formula_sum 'Y24 Ho4 Tm12'
_symmetry_space_group_name_H-M 'C m c 21'
_symmetry_Int_Tables_number 36
_symmetry_space_group_name_Hall 'C 2c -2'
_cell_length_a 9.6229
_cell_length_b 20.8160
_cell_length_c 6.3603
_cell_angle_alpha 90.00
_cell_angle_beta 90.00
_cell_angle_gamma 90.00
loop_
_atom_site_label
_atom_site_type_symbol
_atom_site_fract_x
_atom_site_fract_y
_atom_site_fract_z
_atom_site_occupancy
Y1 Y 0.0000 0.0153 0.0000 1
Y2 Y 0.0000 0.3003 0.0339 1
Y3 Y 0.1771 0.2811 0.4921 1
Y4 Y 0.1810 0.4406 0.2482 1
Ho1 Ho 0.0000 0.1609 0.8009 1
Tm1 Tm 0.0000 0.4181 0.7240 1
Tm2 Tm 0.1682 0.1263 0.3288 1
```



Entry 6:
First-principles (GGA-PBE) data for an optimized crystal structure of YHoTm14, as listed in Alexandria.

Output
- formation energy (kJ/mol of formula units) = 15.7
- E_tot (eV per atom) = -4.593
- total magnetization (μB per cell) = 0.00

Structure (CIF):
```
data_YHoTm14
_chemical_formula_sum 'Y2 Ho2 Tm28'
_symmetry_space_group_name_H-M 'A m m 2'
_symmetry_Int_Tables_number 38
_symmetry_space_group_name_Hall 'A 2 -2'
_cell_length_a 11.2832
_cell_length_b 7.0348
_cell_length_c 12.1707
_cell_angle_alpha 90.00
_cell_angle_beta 90.00
_cell_angle_gamma 90.00
loop_
_atom_site_label
_atom_site_type_symbol
_atom_site_fract_x
_atom_site_fract_y
_atom_site_fract_z
_atom_site_occupancy
Y1 Y 0.0000 0.0000 0.0000 1
Ho1 Ho 0.0000 0.0000 0.5000 1
Tm1 Tm 0.0000 0.2497 0.2503 1
Tm2 Tm 0.2499 0.0000 0.6671 1
Tm3 Tm 0.2511 0.0000 0.1673 1
Tm4 Tm 0.2516 0.2496 0.4167 1
Tm5 Tm 0.5000 0.0000 0.3335 1
Tm6 Tm 0.5000 0.0000 0.8336 1
Tm7 Tm 0.5000 0.2502 0.0838 1
```



Entry 7:
First-principles (GGA-PBE) data for an optimized crystal structure of Y9HoTm4, as listed in Alexandria.

Output
- formation energy (kJ/mol of formula units) = 223.9
- E_tot (eV per atom) = -5.594
- total magnetization (μB per cell) = 0.00

Structure (CIF):
```
data_Y9HoTm4
_chemical_formula_sum 'Y18 Ho2 Tm8'
_symmetry_space_group_name_H-M 'P 63/m m c'
_symmetry_Int_Tables_number 194
_symmetry_space_group_name_Hall '-P 6c 2c'
_cell_length_a 9.6695
_cell_length_b 9.6695
_cell_length_c 11.2483
_cell_angle_alpha 90.00
_cell_angle_beta 90.00
_cell_angle_gamma 120.00
loop_
_atom_site_label
_atom_site_type_symbol
_atom_site_fract_x
_atom_site_fract_y
_atom_site_fract_z
_atom_site_occupancy
Y1 Y 0.0807 0.5404 0.2500 1
Y2 Y 0.2089 0.4178 0.5256 1
Ho1 Ho 0.3333 0.6667 0.7500 1
Tm1 Tm 0.0000 0.0000 0.0000 1
Tm2 Tm 0.1100 0.2199 0.2500 1
```



Entry 8:
First-principles (GGA-PBE) data for an optimized crystal structure of Y5HoTm5, as listed in Alexandria.

Output
- formation energy (kJ/mol of formula units) = 308.1
- E_tot (eV per atom) = -5.097
- total magnetization (μB per cell) = 2.08

Structure (CIF):
```
data_Y5HoTm5
_chemical_formula_sum 'Y10 Ho2 Tm10'
_symmetry_space_group_name_H-M 'C 1 2/m 1'
_symmetry_Int_Tables_number 12
_symmetry_space_group_name_Hall '-C 2y'
_cell_length_a 18.7839
_cell_length_b 5.8723
_cell_length_c 6.9003
_cell_angle_alpha 90.00
_cell_angle_beta 111.51
_cell_angle_gamma 90.00
loop_
_atom_site_label
_atom_site_type_symbol
_atom_site_fract_x
_atom_site_fract_y
_atom_site_fract_z
_atom_site_occupancy
Y1 Y 0.0000 0.0000 0.0000 1
Y2 Y 0.1790 0.5000 0.4251 1
Y3 Y 0.1790 0.5000 0.9332 1
Ho1 Ho 0.0000 0.5000 0.0000 1
Tm1 Tm 0.0000 0.5000 0.5000 1
Tm2 Tm 0.1224 0.0000 0.6226 1
Tm3 Tm 0.1680 0.0000 0.1682 1
```